Entry from Alexandria via LeMat-Bulk: an optimized crystal structure of PmAgMoO5 (PBE+U).

Values from the calculation:
M_tot, μB/atom: 0.000
Space-group type: C2/c, No. 15
VASP energy, eV/cell: -108.8

a b c (Å): 6.4095 6.4095 8.7073
angles (deg): 109.83 109.83 92.01
Last column: nearest neighbours and their distance in Å.
Atoms (fractional coordinates):
Pm 0.0000 0.0000 0.0000  6 O 2.27-2.43
Pm 0.0000 0.0000 0.5000  6 O 2.27-2.43
Ag 0.2997 0.7003 0.7500  1 O 2.11
Ag 0.7003 0.2997 0.2500  1 O 2.11
Mo 0.3650 0.6350 0.2500  4 O 1.79-1.81
Mo 0.6350 0.3650 0.7500  4 O 1.79-1.81
O 0.0705 0.9295 0.7500  1 Ag 2.11, 2 Pm 2.27
O 0.2469 0.7450 0.4141  1 Mo 1.79
O 0.2550 0.7531 0.0859  1 Mo 1.79
O 0.2900 0.3312 0.1515  1 Mo 1.81
O 0.3312 0.2900 0.6515  1 Mo 1.81
O 0.6688 0.7100 0.3485  1 Mo 1.81
O 0.7100 0.6688 0.8485  1 Mo 1.81
O 0.7450 0.2469 0.9141  1 Mo 1.79
O 0.7531 0.2550 0.5859  1 Mo 1.79
O 0.9295 0.0705 0.2500  1 Ag 2.11, 2 Pm 2.27